## one
# La12Tb5Nd2

A relaxed structure of La12Tb5Nd2 (PBE, Alexandria via LeMat-Bulk).

Cell and atoms, written as POSCAR:
```
La12Tb5Nd2
1.0
6.6660 -5.9416 0.0000
6.6660 5.9416 0.0000
-4.3111 0.0000 8.5542
La Tb Nd
12 5 2
Direct
0.0323 0.5466 0.6902
0.0665 0.0665 0.2728
0.1320 0.6578 0.0924
0.3422 0.8680 0.9076
0.3961 0.3961 0.5726
0.4534 0.9677 0.3098
0.5466 0.0323 0.6902
0.6039 0.6039 0.4274
0.6578 0.1320 0.0924
0.8680 0.3422 0.9076
0.9335 0.9335 0.7272
0.9677 0.4534 0.3098
0.1944 0.1944 0.7324
0.2866 0.2866 0.1422
0.5000 0.5000 0.0000
0.7134 0.7134 0.8578
0.8056 0.8056 0.2676
0.2153 0.7847 0.5000
0.7847 0.2153 0.5000
```

## Properties
Total magnetization: 0.00 μB per formula unit
D(E_F): 29.78 states/eV/cell
Volume: 35.7 A^3/atom

## two
# La12Tb5Nd2

A relaxed structure of La12Tb5Nd2 (PBE, Alexandria via LeMat-Bulk).

Cell and atoms, written as POSCAR:
```
La12Tb5Nd2
1.0
11.0919 -4.8196 0.0000
11.0919 4.8196 0.0000
-0.1663 0.0000 6.3449
La Tb Nd
12 5 2
Direct
0.0696 0.0696 0.4184
0.1184 0.4655 0.8479
0.1756 0.5709 0.3912
0.4217 0.4217 0.9421
0.4291 0.8244 0.6088
0.4655 0.1184 0.8479
0.5345 0.8816 0.1521
0.5709 0.1756 0.3912
0.5783 0.5783 0.0579
0.8244 0.4291 0.6088
0.8816 0.5345 0.1521
0.9304 0.9304 0.5816
0.1404 0.1404 0.9326
0.2327 0.2327 0.3827
0.5000 0.5000 0.5000
0.7673 0.7673 0.6173
0.8596 0.8596 0.0674
0.1900 0.8100 0.0000
0.8100 0.1900 0.0000
```

## Properties
Total magnetization: 0.00 μB per formula unit
D(E_F): 29.08 states/eV/cell
Volume: 35.7 A^3/atom

Quick one: least stable of them? two